Here is a relaxed structure of LiTlPC from Alexandria via LeMat-Bulk. Energies are from PBE-GGA.

The structure in POSCAR format:
```
LiTlPC
1.0
2.9189 0.0000 0.0000
-1.4246 4.8336 0.0000
-0.0326 -1.2820 5.4587
Li Tl P C
1 1 1 1
Direct
0.0000 0.0000 0.0000
0.5805 0.1456 0.5162
0.7601 0.5060 0.1141
0.3590 0.7087 0.1106
```

Results
- Symmetry: P1, No. 1
- ΔE_f: 0.249 eV per atom
- Total energy: -0.1646 hartree per atom
- ΔE to the lowest computed polymorph: 30 meV per atom